[1]
An optimized crystal structure of GdMgZn, computed with GGA-PBE.

## Properties
- Volume: 136 Å³/cell
- Total energy: -2.665 eV per atom

a b c (Å): 4.735 4.735 7.019
angles (deg): 90.00 90.00 120.00
Fractional positions:
Mg: 0.000 0.000 0.750
Mg: 0.000 0.000 0.250
Gd: 0.667 0.333 0.000
Gd: 0.667 0.333 0.500
Zn: 0.333 0.667 0.746
Zn: 0.333 0.667 0.254


[2]
An optimized crystal structure of TbSbN2O, computed with GGA-PBE.

## Properties
- Volume: 511 Å³/cell
- Total energy: -7.012 eV per atom

a b c (Å): 8.065 7.818 11.265
angles (deg): 90.00 133.95 90.00
Fractional positions:
N: 0.902 0.230 0.753
N: 0.666 0.004 0.974
N: 0.908 0.711 0.402
N: 0.236 0.005 0.532
N: 0.098 0.770 0.247
N: 0.908 0.789 0.902
N: 0.098 0.730 0.747
N: 0.764 0.995 0.468
N: 0.334 0.996 0.026
N: 0.666 0.496 0.474
N: 0.902 0.270 0.253
N: 0.236 0.495 0.032
N: 0.334 0.504 0.526
N: 0.764 0.505 0.968
N: 0.092 0.211 0.098
N: 0.092 0.289 0.598
O: 0.549 0.799 0.538
O: 0.450 0.737 0.242
O: 0.549 0.701 0.038
O: 0.451 0.299 0.962
O: 0.451 0.201 0.462
O: 0.450 0.763 0.742
O: 0.550 0.237 0.258
O: 0.550 0.263 0.758
Sb: 0.218 0.749 0.977
Sb: 0.213 0.260 0.487
Sb: 0.782 0.251 0.023
Sb: 0.218 0.751 0.477
Sb: 0.213 0.240 0.987
Sb: 0.787 0.760 0.013
Sb: 0.787 0.740 0.513
Sb: 0.782 0.249 0.523
Tb: 0.268 0.006 0.760
Tb: 0.662 0.012 0.722
Tb: 0.338 0.512 0.778
Tb: 0.268 0.494 0.260
Tb: 0.732 0.994 0.240
Tb: 0.732 0.506 0.740
Tb: 0.662 0.488 0.222
Tb: 0.338 0.988 0.278


[3]
An optimized crystal structure of Al7Ni5, computed with GGA-PBE.

## Properties
- Volume: 325 Å³/cell
- Total energy: -4.628 eV per atom

a b c (Å): 4.872 4.872 15.800
angles (deg): 90.00 90.00 120.00
Fractional positions:
Ni: 0.000 0.000 0.917
Ni: 0.000 0.000 0.583
Ni: 0.317 0.159 0.750
Ni: 0.000 0.000 0.083
Ni: 0.683 0.841 0.250
Ni: 0.000 0.000 0.417
Ni: 0.159 0.317 0.250
Ni: 0.841 0.159 0.750
Ni: 0.841 0.683 0.750
Ni: 0.159 0.841 0.250
Al: 0.500 0.500 0.000
Al: 0.500 0.000 0.500
Al: 0.667 0.333 0.332
Al: 0.333 0.667 0.362
Al: 0.000 0.500 0.000
Al: 0.667 0.333 0.638
Al: 0.667 0.333 0.862
Al: 0.333 0.667 0.138
Al: 0.500 0.500 0.500
Al: 0.000 0.500 0.500
Al: 0.667 0.333 0.168
Al: 0.500 0.000 0.000
Al: 0.333 0.667 0.832
Al: 0.333 0.667 0.668


[4]
An optimized crystal structure of CdHgTe2, computed with GGA-PBE.

## Properties
- Volume: 109 Å³/cell
- Total energy: -1.708 eV per atom

a b c (Å): 5.354 5.354 5.354
angles (deg): 60.00 60.00 60.00
Fractional positions:
Te: 0.250 0.250 0.250
Te: 0.500 0.500 0.500
Cd: 0.750 0.750 0.750
Hg: 0.000 0.000 0.000


[5]
An optimized crystal structure of NpTlB, computed with GGA-PBE.

## Properties
- Volume: 74 Å³/cell
- Total energy: -5.896 eV per atom

a b c (Å): 4.706 4.706 4.706
angles (deg): 60.00 60.00 60.00
Site moments in Bohr magnetons follow the coordinates.
Fractional positions:
Np: 0.250 0.250 0.250  3.73
Tl: 0.000 0.000 0.000  0.07
B: 0.500 0.500 0.500  -0.02


[6]
An optimized crystal structure of NdErGa2Br2, computed with GGA-PBE.

## Properties
- Volume: 171 Å³/cell
- Total energy: -4.341 eV per atom

a b c (Å): 4.169 4.169 11.386
angles (deg): 90.00 90.00 120.00
Fractional positions:
Ga: 0.667 0.333 0.465
Ga: 0.333 0.667 0.524
Nd: 0.000 0.000 0.682
Br: 0.333 0.667 0.167
Br: 0.667 0.333 0.845
Er: 0.000 0.000 0.318